# GGA+U NaSiMoO5, relaxed
# raw total energy = -223.3 eV/cell
# crystal system = monoclinic
data_NaSiMoO5
_chemical_formula_sum 'Na4 Si4 Mo4 O20'
_cell_length_a 6.813
_cell_length_b 8.779
_cell_length_c 7.389
_cell_angle_alpha 90.00
_cell_angle_beta 115.16
_cell_angle_gamma 90.00
_space_group_name_H-M_alt 'C 1 2/c 1'
_space_group_IT_number 15
loop_
_space_group_symop_operation_xyz
'x,y,z'
'-x,-y,-z'
'-x,y,-z+1/2'
'x,-y,z+1/2'
'x+1/2,y+1/2,z'
'-x+1/2,-y+1/2,-z'
'-x+1/2,y+1/2,-z+1/2'
'x+1/2,-y+1/2,z+1/2'
loop_
_atom_site_label
_atom_site_type_symbol
_atom_site_fract_x
_atom_site_fract_y
_atom_site_fract_z
Na1 Na 0.000 0.169 0.250
Si1 Si 0.000 0.183 0.750
Mo1 Mo 0.000 0.500 0.000
O1 O 0.000 0.434 0.250
O2 O 0.094 0.289 0.619
O3 O 0.190 0.067 0.897